#one
BaMoAs2: optimized geometry, PBE-GGA.

Output
Total magnetization, μB/f.u.: 0.00
D(E_F), states/eV/atom: 0.5929
V, Å³ per cell: 95.6
Symmetry: Imm2, No. 44

Structure (POSCAR):
```
BaMoAs2
1.0
7.937 -0.001 -0.002
6.333 4.785 0.002
-7.067 -2.593 2.515
As Mo Ba
2 1 1
direct
0.081 0.081 0.000
0.767 0.267 0.500
0.202 0.702 0.500
0.449 0.449 0.000
```

---

#two
BaMoAs2: optimized geometry, PBE-GGA.

Output
Total magnetization, μB/f.u.: 0.64
D(E_F), states/eV/atom: 0.6611
V, Å³ per cell: 119.5
Symmetry: Amm2, No. 38

Structure (POSCAR):
```
BaMoAs2
1.0
-2.997 -0.460 3.180
0.523 -4.026 -0.090
5.080 -1.494 4.572
As Mo Ba
2 1 1
direct
0.000 0.891 0.841
0.500 0.208 0.209
0.500 0.814 0.998
0.000 0.587 0.451
```

---

The winner here is #one, beating the second structure by 22 meV/atom.

---

#one
BaMoAs2: optimized geometry, PBE-GGA.

Output
Total magnetization, μB/f.u.: 2.09
D(E_F), states/eV/atom: 0.4990
V, Å³ per cell: 108.6
Symmetry: Immm, No. 71

Structure (POSCAR):
```
BaMoAs2
1.0
-1.000 4.118 -3.558
-2.158 -3.506 -3.697
-1.406 1.648 5.092
As Mo Ba
2 1 1
direct
0.066 0.066 0.000
0.434 0.434 0.000
0.250 0.750 0.500
0.750 0.250 0.500
```

---

#two
BaMoAs2: optimized geometry, PBE-GGA.

Output
Total magnetization, μB/f.u.: 2.96
D(E_F), states/eV/atom: 0.5885
V, Å³ per cell: 99.7
Symmetry: I-4m2, No. 119

Structure (POSCAR):
```
BaMoAs2
1.0
6.066 0.011 0.000
2.908 5.324 0.000
-4.487 -2.667 3.090
As Mo Ba
2 1 1
direct
0.000 0.000 0.000
0.250 0.750 0.500
0.750 0.250 0.500
0.500 0.500 0.000
```

---

#three
BaMoAs2: optimized geometry, PBE-GGA.

Output
Total magnetization, μB/f.u.: 0.00
D(E_F), states/eV/atom: 0.1287
V, Å³ per cell: 248.0
Symmetry: I4_1/amd, No. 141

Structure (POSCAR):
```
BaMoAs2
1.0
5.707 0.000 0.000
0.000 5.707 0.000
2.854 2.854 7.615
As Mo Ba
4 2 2
direct
0.375 0.125 0.250
0.375 0.625 0.250
0.375 0.625 0.750
0.875 0.625 0.750
0.500 0.500 0.000
0.250 0.750 0.500
0.000 0.000 0.000
0.750 0.250 0.500
```

---

The winner here is #three, beating the second structure by 248 meV/atom.

---

#one
BaMoAs2: optimized geometry, PBE-GGA.

Output
Total magnetization, μB/f.u.: 0.00
D(E_F), states/eV/atom: 0.7139
V, Å³ per cell: 103.5
Symmetry: Cm, No. 8

Structure (POSCAR):
```
BaMoAs2
1.0
-0.999 -3.427 -2.544
2.378 -3.468 -1.239
-1.952 -5.187 4.890
As Mo Ba
2 1 1
direct
0.931 0.931 0.166
0.774 0.774 0.800
0.255 0.255 0.040
0.540 0.540 0.494
```

---

#two
BaMoAs2: optimized geometry, PBE-GGA.

Output
Total magnetization, μB/f.u.: 0.11
D(E_F), states/eV/atom: 0.5574
V, Å³ per cell: 96.2
Symmetry: C2/m, No. 12

Structure (POSCAR):
```
BaMoAs2
1.0
3.908 -0.002 -0.001
1.974 3.373 -0.001
1.939 1.112 7.295
As Mo Ba
2 1 1
direct
0.979 0.979 0.063
0.521 0.521 0.437
0.250 0.250 0.250
0.750 0.750 0.750
```

---

The winner here is #two, beating the second structure by 68 meV/atom.

---

#one
BaMoAs2: optimized geometry, PBE-GGA.

Output
Total magnetization, μB/f.u.: 0.00
D(E_F), states/eV/atom: 1.0795
V, Å³ per cell: 105.1
Symmetry: P4mm, No. 99

Structure (POSCAR):
```
BaMoAs2
1.0
-2.339 1.739 -2.146
-0.367 -2.984 -2.018
-6.066 -2.407 4.663
As Mo Ba
2 1 1
direct
0.000 0.000 0.877
0.500 0.500 0.225
0.500 0.500 0.928
0.000 0.000 0.470
```

---

#two
BaMoAs2: optimized geometry, PBE-GGA.

Output
Total magnetization, μB/f.u.: 0.00
D(E_F), states/eV/atom: 0.3123
V, Å³ per cell: 85.4
Symmetry: P4/mmm, No. 123

Structure (POSCAR):
```
BaMoAs2
1.0
-1.161 -0.911 2.973
-1.221 -2.785 -1.330
6.680 -3.642 1.493
As Mo Ba
2 1 1
direct
0.000 0.000 0.936
0.000 0.000 0.564
0.500 0.500 0.750
0.500 0.500 0.250
```

---

The winner here is #two, beating the second structure by 311 meV/atom.